Material: AlRhAu2O
Method: DFT, PBE
State: optimized geometry

The structure in POSCAR format:
```
AlRhAu2O
1.0
4.568 0.000 0.000
0.000 3.998 0.000
0.000 0.000 4.568
Au O Al Rh
2 1 1 1
Direct
0.000 0.000 0.500
0.500 0.000 0.000
0.000 0.000 0.000
0.500 0.500 0.500
0.000 0.500 0.000
```

- Fermi-level density of states: 0.6941 states/eV per atom
- Formation energy from raw total energies: 0.337 eV/atom

Material: AcMgIn
Method: DFT, PBE
State: optimized geometry

The structure in POSCAR format:
```
AcMgIn
1.0
-0.402 -0.742 -4.939
7.546 -2.732 -0.203
-6.079 -5.090 1.259
Mg Ac In
3 3 3
Direct
0.000 0.761 0.761
0.000 0.000 0.239
0.000 0.239 0.000
0.500 0.000 0.571
0.500 0.429 0.429
0.500 0.571 0.000
0.500 0.000 0.000
0.000 0.667 0.333
0.000 0.333 0.667
```

- Fermi-level density of states: 0.2267 states/eV per atom
- Energy above the most stable polymorph in this dataset: 0.000 eV/atom
- Energy of formation: -385 meV per atom

Material: LiTaRe2
Method: DFT, PBE
State: optimized geometry

The structure in POSCAR format:
```
LiTaRe2
1.0
-1.383 -3.889 0.263
3.426 -1.137 1.209
-1.065 0.622 3.601
Ta Re Li
1 2 1
Direct
0.500 0.500 0.000
0.000 0.500 0.500
0.000 0.000 0.000
0.500 0.000 0.500
```

- Fermi-level density of states: 0.7729 states/eV per atom
- Energy above the most stable polymorph in this dataset: 0.121 eV/atom
- Energy of formation: 223 meV per atom

Material: Ca2NdUP4
Method: DFT, PBE
State: optimized geometry

The structure in POSCAR format:
```
Ca2NdUP4
1.0
4.114 0.000 0.000
0.000 7.108 0.135
0.000 -2.470 6.621
Nd P U Ca
1 4 1 2
Direct
0.000 0.000 0.000
0.500 0.264 0.234
0.500 0.736 0.766
0.000 0.729 0.228
0.000 0.271 0.772
0.500 0.500 0.000
0.500 0.000 0.500
0.000 0.500 0.500
```

- Fermi-level density of states: 0.7022 states/eV per atom
- Energy of formation: -1183 meV per atom

Material: Pm2PuCoN5
Method: DFT, PBE
State: optimized geometry

The structure in POSCAR format:
```
Pm2PuCoN5
1.0
3.411 0.000 0.000
-1.706 6.881 0.000
0.000 0.000 10.212
Pu Pm N Co
2 4 10 2
Direct
0.796 0.592 0.507
0.204 0.408 0.007
0.891 0.782 0.193
0.129 0.258 0.309
0.109 0.218 0.693
0.871 0.742 0.809
0.493 0.986 0.789
0.630 0.260 0.507
0.692 0.385 0.878
0.308 0.615 0.378
0.038 0.075 0.026
0.288 0.577 0.643
0.370 0.740 0.007
0.712 0.423 0.143
0.962 0.925 0.526
0.507 0.014 0.289
0.494 0.988 0.472
0.506 0.012 0.972
```

- Fermi-level density of states: 0.8214 states/eV per atom
- Formation energy from raw total energies: -0.831 eV/atom

Material: Tm3CoGe
Method: DFT, PBE
State: optimized geometry

The structure in POSCAR format:
```
Tm3CoGe
1.0
-3.007 1.583 1.482
-2.296 -7.365 -1.419
2.704 -1.823 7.431
Tm Co Ge
6 2 2
Direct
0.074 0.181 0.403
0.627 0.287 0.763
0.772 0.578 0.409
0.272 0.576 0.013
0.417 0.867 0.659
0.970 0.973 0.018
0.233 0.499 0.651
0.811 0.655 0.771
0.412 0.857 0.288
0.632 0.297 0.134
```

- Fermi-level density of states: 0.7669 states/eV per atom
- Energy of formation: -428 meV per atom

Look up the Fermi-level density of states of the sixth one.
0.7669 states/eV per atom

Which formula does entry 5 have?
Pm2PuCoN5

Among the records above, which one has the highest Fermi-level density of states?
Pm2PuCoN5